The following is a DFT calculation (PBE) of a geometry-optimized Ti4Ga5Pd3 structure.

Unit cell a=6.7992 b=6.7992 c=7.2957 alpha=114.02 beta=114.02 gamma=40.55
Element x y z (fractional)
Ti  0.0756  0.0756  0.4204
Ti  0.1735  0.1735  0.8559
Ti  0.8265  0.8265  0.1441
Ti  0.9244  0.9244  0.5796
Ga  0.0000  0.0000  0.0000
Ga  0.3160  0.3160  0.6543
Ga  0.4404  0.4404  0.3042
Ga  0.5596  0.5596  0.6958
Ga  0.6840  0.6840  0.3457
Pd  0.2317  0.2317  0.2456
Pd  0.5000  0.5000  0.0000
Pd  0.7683  0.7683  0.7544

Computed properties:
magnetization: 0.0 μB per formula unit
E: -5.5823 eV/atom
calculated formation energy: -4.70 eV/f.u.
SG: C2/m, No. 12